Entry 1:
# PmDyBeOs

A relaxed structure of PmDyBeOs (GGA-PBE, Alexandria via LeMat-Bulk).

Cell and atoms, written as POSCAR:
```
PmDyBeOs
1.0
4.896 0.000 0.000
2.448 4.240 0.000
2.448 1.413 3.998
Be Pm Os Dy
1 1 1 1
Cartesian
4.896 2.827 1.999 Be
7.344 4.240 2.998 Pm
0.000 0.000 0.000 Os
2.448 1.413 0.999 Dy
```

Theoretical density: 10.14 g/cm³
Fermi-level density of states: 0.850 states/eV/atom
DFT formation energy: 3 kJ per mole of atoms



Entry 2:
# SrSmHgPt

A relaxed structure of SrSmHgPt (GGA-PBE, Alexandria via LeMat-Bulk).

Cell and atoms, written as POSCAR:
```
SrSmHgPt
1.0
-2.636 -0.084 4.572
2.637 -0.298 4.562
0.175 4.175 3.224
Sr Sm Hg Pt
1 1 1 1
Cartesian
0.000 0.000 0.000 Sr
0.088 1.896 6.179 Sm
0.044 0.948 3.090 Hg
0.132 2.845 9.269 Pt
```

Theoretical density: 10.12 g/cm³
Fermi-level density of states: 0.611 states/eV/atom
DFT formation energy: -63 kJ per mole of atoms